[1]
Density functional theory data (GGA-PBE) for a relaxed KCrSb2 crystal.

The formation energy from raw total energies is 158 meV per atom. The density of states at the Fermi level is 0.3634 states/eV/atom. Its offset from the most stable computed form is 0.235 eV per atom.

The space group is Pmm2 (No. 25) and the conventional cell measures 3.626, 3.766 and 9.081 Å, with angles of 90.00, 90.00 and 90.00 degrees. The inequivalent atoms are K at (0.000, 0.000, 0.000), Cr at (0.500, 0.500, 0.442), Sb at (0.000, 0.000, 0.380) and Sb at (0.500, 0.500, 0.735).

[2]
Density functional theory data (GGA-PBE) for a relaxed CsAs2Ir crystal.

The density of states at the Fermi level is 0.1522 states/eV/atom. Its offset from the most stable computed form is 0.351 eV per atom. Its formation energy from the elements is 0.0648 eV/atom.

The space group is P4/mmm (No. 123) and the conventional cell measures 3.366, 3.366 and 8.254 Å, with angles of 90.00, 90.00 and 90.00 degrees. The inequivalent atoms are Cs at (0.000, 0.000, 0.000), As at (0.500, 0.500, 0.341) and Ir at (0.000, 0.000, 0.500).

[3]
Density functional theory data (GGA-PBE) for a relaxed CsGaTeN2 crystal.

The formation energy from raw total energies is 2074 meV per atom. The density of states at the Fermi level is 0.7274 states/eV/atom. Its offset from the most stable computed form is 0.491 eV per atom.

The space group is P4/mmm (No. 123) and the conventional cell measures 4.471, 4.471 and 7.820 Å, with angles of 90.00, 90.00 and 90.00 degrees. The inequivalent atoms are Cs at (0.000, 0.000, 0.000), Ga at (0.500, 0.500, 0.500), Te at (0.000, 0.000, 0.500) and N at (0.000, 0.500, 0.000).

[4]
Density functional theory data (GGA-PBE) for a relaxed Tm2Th8Sc3 crystal.

The density of states at the Fermi level is 1.7421 states/eV/atom. Its formation energy from the elements is 0.2354 eV/atom.

The space group is C2/m (No. 12) and the conventional cell measures 12.869, 11.382 and 5.853 Å, with angles of 90.00, 110.66 and 90.00 degrees. The inequivalent atoms are Tm at (0.197, 0.000, 0.363), Th at (0.070, 0.000, 0.794), Th at (0.145, 0.500, 0.080), Th at (0.167, 0.253, 0.669), Sc at (0.000, 0.247, 0.000) and Sc at (0.000, 0.500, 0.500).

[5]
Density functional theory data (GGA-PBE) for a relaxed TaBeCu crystal.

The density of states at the Fermi level is 0.6737 states/eV/atom. Its offset from the most stable computed form is 0.010 eV per atom. Its formation energy from the elements is -0.0832 eV/atom.

The space group is Cmcm (No. 63) and the conventional cell measures 3.430, 8.969 and 4.887 Å, with angles of 90.00, 90.00 and 90.00 degrees. The inequivalent atoms are Ta at (0.000, 0.208, 0.250), Be at (0.000, 0.088, 0.750) and Cu at (0.000, 0.500, 0.000).

[6]
Density functional theory data (GGA-PBE) for a relaxed Ac2AlZn4Cd3 crystal.

The density of states at the Fermi level is 0.8259 states/eV/atom. Its formation energy from the elements is -0.2596 eV/atom.

The space group is P-4m2 (No. 115) and the conventional cell measures 4.652, 4.652 and 10.886 Å, with angles of 90.00, 90.00 and 90.00 degrees. The inequivalent atoms are Ac at (0.000, 0.500, 0.248), Al at (0.000, 0.000, 0.500), Zn at (0.000, 0.000, 0.000), Zn at (0.000, 0.500, 0.628), Zn at (0.500, 0.500, 0.000), Cd at (0.000, 0.500, 0.871) and Cd at (0.500, 0.500, 0.500).